1.
# NdDyGaOs

NdDyGaOs after structural relaxation (PBE-GGA, the Alexandria database).

ΔE_f = -256 meV per atom
Density of states at the Fermi level = 0.644 states/eV/atom
Size of the total moment = 0.000 μB/atom

a b c (Å): 7.092 7.092 7.092
angles (deg): 90.00 90.00 90.00
Space group F-43m (No. 216)
One atom of each set of equivalent atoms:
Nd  0.000  0.000  0.000 [4 per cell]
Dy  0.000  0.000  0.500 [4 per cell]
Ga  0.250  0.250  0.750 [4 per cell]
Os  0.250  0.250  0.250 [4 per cell]

***

2.
# Na2Sr3In

Na2Sr3In after structural relaxation (PBE-GGA, the Alexandria database).

ΔE_f = -140 meV per atom
Density of states at the Fermi level = 0.792 states/eV/atom
Size of the total moment = 0.000 μB/atom

a b c (Å): 6.0567 6.0567 14.8134
angles (deg): 90.00 90.00 120.00
Space group P-3m1 (No. 164)
One atom of each set of equivalent atoms:
Na  0.0000  0.0000  0.0000 [1 per cell]
Na  0.0000  0.0000  0.5000 [1 per cell]
Na  0.3333  0.6667  0.1698 [2 per cell]
Sr  0.0000  0.0000  0.2638 [2 per cell]
Sr  0.3333  0.6667  0.4185 [2 per cell]
Sr  0.3333  0.6667  0.9017 [2 per cell]
In  0.3333  0.6667  0.6629 [2 per cell]